Entry 1:
A relaxed Dy6ZnBi2 crystal. Source: Alexandria via LeMat-Bulk, functional GGA-PBE.

Cell: 6.8865 6.8865 13.7397 Å, 90.00 90.00 90.00°
Closest atoms and distances in Å follow each position.
Positions (direct):
Dy1 0.1894 0.1894 0.1516  1 Zn 2.78, 2 Bi 3.03-3.09
Dy2 0.1894 0.1894 0.8484  1 Zn 2.78, 2 Bi 3.03-3.09
Dy3 0.2146 0.2146 0.5000  1 Zn 2.78, 2 Bi 3.11
Dy4 0.2854 0.7146 0.0000  1 Zn 2.78, 2 Bi 3.11
Dy5 0.3106 0.6894 0.3484  1 Zn 2.78, 2 Bi 3.03-3.09
Dy6 0.3106 0.6894 0.6516  1 Zn 2.78, 2 Bi 3.03-3.09
Dy7 0.6894 0.3106 0.3484  1 Zn 2.78, 2 Bi 3.03-3.09
Dy8 0.6894 0.3106 0.6516  1 Zn 2.78, 2 Bi 3.03-3.09
Dy9 0.7146 0.2854 0.0000  1 Zn 2.78, 2 Bi 3.11
Dy10 0.7854 0.7854 0.5000  1 Zn 2.78, 2 Bi 3.11
Dy11 0.8106 0.8106 0.1516  1 Zn 2.78, 2 Bi 3.03-3.09
Dy12 0.8106 0.8106 0.8484  1 Zn 2.78, 2 Bi 3.03-3.09
Zn1 0.0000 0.0000 0.0000  6 Dy 2.78
Zn2 0.5000 0.5000 0.5000  6 Dy 2.78
Bi1 0.0000 0.0000 0.3321  6 Dy 3.03-3.11
Bi2 0.0000 0.0000 0.6679  6 Dy 3.03-3.11
Bi3 0.5000 0.5000 0.1679  6 Dy 3.03-3.11
Bi4 0.5000 0.5000 0.8321  6 Dy 3.03-3.11

Computed properties:
Energy of formation from the pure elements in eV/atom: -0.017
Crystal system: tetragonal

=====

Entry 2:
A relaxed NpSi2Se6 crystal. Source: Alexandria via LeMat-Bulk, functional GGA-PBE.

Cell: 8.8395 8.8395 6.5489 Å, 96.70 96.70 85.86°
Closest atoms and distances in Å follow each position.
Positions (direct):
Np1 0.1152 0.8848 0.7500  6 Se 2.74-2.95
Np2 0.8848 0.1152 0.2500  6 Se 2.74-2.95
Si1 0.2289 0.3762 0.6848  4 Se 2.28-2.34
Si2 0.3762 0.2289 0.1848  4 Se 2.28-2.34
Si3 0.6238 0.7711 0.8152  4 Se 2.28-2.34
Si4 0.7711 0.6238 0.3152  4 Se 2.28-2.34
Se1 0.0395 0.1997 0.6503  1 Si 2.34
Se2 0.1273 0.5923 0.8544  1 Si 2.28
Se3 0.1997 0.0395 0.1503  1 Si 2.34
Se4 0.2891 0.4473 0.3768  2 Si 2.31
Se5 0.4077 0.8727 0.6456  1 Si 2.28
Se6 0.4473 0.2891 0.8768  2 Si 2.31
Se7 0.5527 0.7109 0.1232  2 Si 2.31
Se8 0.5923 0.1273 0.3544  1 Si 2.28
Se9 0.7109 0.5527 0.6232  2 Si 2.31
Se10 0.8003 0.9605 0.8497  1 Si 2.34
Se11 0.8727 0.4077 0.1456  1 Si 2.28
Se12 0.9605 0.8003 0.3497  1 Si 2.34

Computed properties:
Crystal system: monoclinic

=====

Entry 3:
A relaxed CsZn2TeCl8 crystal. Source: Alexandria via LeMat-Bulk, functional GGA-PBE.

Cell: 11.5555 11.5555 11.5555 Å, 32.29 32.29 32.29°
Closest atoms and distances in Å follow each position.
Positions (direct):
Cs1 0.0000 0.0000 0.0000  6 Cl 3.78
Zn1 0.2432 0.2432 0.2432  4 Cl 2.22-2.32
Zn2 0.7568 0.7568 0.7568  4 Cl 2.22-2.32
Te1 0.5000 0.5000 0.5000  6 Cl 2.73
Cl1 0.1224 0.7779 0.4404  1 Zn 2.32
Cl2 0.2221 0.5596 0.8776  1 Zn 2.32
Cl3 0.3108 0.3108 0.3108  1 Zn 2.22
Cl4 0.4404 0.1224 0.7779  1 Zn 2.32
Cl5 0.5596 0.8776 0.2221  1 Zn 2.32
Cl6 0.6892 0.6892 0.6892  1 Zn 2.22
Cl7 0.7779 0.4404 0.1224  1 Zn 2.32
Cl8 0.8776 0.2221 0.5596  1 Zn 2.32

Computed properties:
Crystal system: trigonal

=====

no.,total energy (eV/atom)
1,-4.089
2,-5.483
3,-2.755